(1)
VASP calculation (meta-GGA SCAN) on LiSi4Ni at its PBEsol-relaxed geometry.

Computed properties:
uncorrected formation energy = 2.52 eV per formula unit
total DFT energy (no corrections) = -9.35 eV per atom
crystal system = cubic

Lattice parameters (Å, degrees): 6.9229 6.9229 6.9229 90.00 90.00 90.00
Space group F-43m (No. 216)
Inequivalent atoms, fractional coordinates:
Li: 0.0000 0.0000 0.0000 (multiplicity 4)
Si: 0.1251 0.1251 0.3749 (multiplicity 16)
Ni: 0.2500 0.2500 0.7500 (multiplicity 4)

***

(2)
VASP calculation (meta-GGA SCAN) on ScBe2Se at its PBEsol-relaxed geometry.

Computed properties:
uncorrected formation energy = -0.42 eV per formula unit
total DFT energy (no corrections) = -10.86 eV per atom
crystal system = tetragonal

Lattice parameters (Å, degrees): 3.7079 3.7079 4.0444 90.00 90.00 90.00
Space group P4/mmm (No. 123)
Inequivalent atoms, fractional coordinates:
Sc: 0.0000 0.0000 0.0000 (multiplicity 1)
Be: 0.0000 0.5000 0.5000 (multiplicity 2)
Se: 0.5000 0.5000 0.0000 (multiplicity 1)